# 1
This record from Alexandria via LeMat-Bulk describes an optimized crystal structure of LaCuPt. The functional is PBE-GGA.

It has space group P-6m2 (No. 187), with a = 4.4302 Å, b = 4.4302 Å, c = 3.8452 Å, α = 90.00°, β = 90.00° and γ = 120.00°. The inequivalent atoms are La at (0.0000, 0.0000, 0.0000), Cu at (0.3333, 0.6667, 0.5000) and Pt at (0.6667, 0.3333, 0.5000).

The formation energy comes out at -2.30 eV per formula unit. The energy above the most stable polymorph in this dataset is 0.012 eV/atom. As for the total DFT energy (no corrections): -5.7866 eV/atom. The density of states at the Fermi level is 0.367 states/eV per atom.


# 2
This record from Alexandria via LeMat-Bulk describes an optimized crystal structure of La2CuPt3. The functional is PBE-GGA.

It has space group Fmmm (No. 69), with a = 7.7385 Å, b = 9.0197 Å, c = 15.4429 Å, α = 90.00°, β = 90.00° and γ = 90.00°. The inequivalent atoms are La at (0.2487, 0.0000, 0.0000), La at (0.2500, 0.2500, 0.2500), Cu at (0.0000, 0.0000, 0.3320), Pt at (0.0000, 0.0000, 0.1696) and Pt at (0.0000, 0.2395, 0.4133).

The formation energy comes out at -5.45 eV per formula unit. As for the total DFT energy (no corrections): -6.2534 eV/atom. The density of states at the Fermi level is 0.563 states/eV per atom.


# 3
This record from Alexandria via LeMat-Bulk describes an optimized crystal structure of La3Cu2Pt. The functional is PBE-GGA.

It has space group Pnma (No. 62), with a = 12.5088 Å, b = 4.4583 Å, c = 11.2186 Å, α = 90.00°, β = 90.00° and γ = 90.00°. The inequivalent atoms are La at (0.0544, 0.2500, 0.1261), La at (0.1114, 0.7500, 0.5683), La at (0.2265, 0.2500, 0.8037), Cu at (0.0144, 0.7500, 0.3049), Cu at (0.1975, 0.7500, 0.0099) and Pt at (0.1247, 0.2500, 0.3779).

The formation energy comes out at -2.76 eV per formula unit. As for the total DFT energy (no corrections): -5.2961 eV/atom. The density of states at the Fermi level is 1.059 states/eV per atom.


# 4
This record from Alexandria via LeMat-Bulk describes an optimized crystal structure of La2CuPt. The functional is PBE-GGA.

It has space group P4/mmm (No. 123), with a = 4.2783 Å, b = 4.2783 Å, c = 6.0089 Å, α = 90.00°, β = 90.00° and γ = 90.00°. The inequivalent atoms are La at (0.0000, 0.0000, 0.0000), La at (0.5000, 0.5000, 0.5000), Cu at (0.0000, 0.0000, 0.5000) and Pt at (0.5000, 0.5000, 0.0000).

The formation energy comes out at -2.36 eV per formula unit. As for the total DFT energy (no corrections): -5.5884 eV/atom. The density of states at the Fermi level is 0.492 states/eV per atom.


# 5
This record from Alexandria via LeMat-Bulk describes an optimized crystal structure of La2CuPt. The functional is PBE-GGA.

It has space group P2/m (No. 10), with a = 3.6898 Å, b = 3.6720 Å, c = 7.2678 Å, α = 90.00°, β = 90.11° and γ = 90.00°. The inequivalent atoms are La at (0.0002, 0.0000, 0.2461), Cu at (0.5000, 0.5000, 0.5000) and Pt at (0.5000, 0.5000, 0.0000).

The formation energy comes out at -2.45 eV per formula unit. As for the total DFT energy (no corrections): -5.6107 eV/atom. The density of states at the Fermi level is 0.910 states/eV per atom.


# 6
This record from Alexandria via LeMat-Bulk describes an optimized crystal structure of La3CuPt. The functional is PBE-GGA.

It has space group Pm-3m (No. 221), with a = 5.6776 Å, b = 5.6776 Å, c = 5.6776 Å, α = 90.00°, β = 90.00° and γ = 90.00°. The inequivalent atoms are La at (0.0000, 0.0000, 0.5000), Cu at (0.5000, 0.5000, 0.5000) and Pt at (0.0000, 0.0000, 0.0000).

The formation energy comes out at -0.49 eV per formula unit. The energy above the most stable polymorph in this dataset is 0.430 eV/atom. As for the total DFT energy (no corrections): -5.0825 eV/atom. The density of states at the Fermi level is 2.131 states/eV per atom.


# 7
This record from Alexandria via LeMat-Bulk describes an optimized crystal structure of LaCuPt2. The functional is PBE-GGA.

It has space group R-3m (No. 166, hexagonal axes), with a = 3.0042 Å, b = 3.0042 Å, c = 27.8388 Å, α = 90.00°, β = 90.00° and γ = 120.00°. The inequivalent atoms are La at (0.0000, 0.0000, 0.0000), Cu at (0.0000, 0.0000, 0.5000) and Pt at (0.0000, 0.0000, 0.2392).

The formation energy comes out at -0.19 eV per formula unit. As for the total DFT energy (no corrections): -5.3241 eV/atom. The density of states at the Fermi level is 0.513 states/eV per atom.


# 8
This record from Alexandria via LeMat-Bulk describes an optimized crystal structure of LaCuPt3. The functional is PBE-GGA.

It has space group Pm-3m (No. 221), with a = 5.2438 Å, b = 5.2438 Å, c = 5.2438 Å, α = 90.00°, β = 90.00° and γ = 90.00°. The inequivalent atoms are La at (0.0000, 0.0000, 0.0000), Cu at (0.5000, 0.5000, 0.5000) and Pt at (0.0000, 0.0000, 0.5000).

The formation energy comes out at 5.94 eV per formula unit. The energy above the most stable polymorph in this dataset is 1.854 eV/atom. As for the total DFT energy (no corrections): -4.2409 eV/atom. The density of states at the Fermi level is 0.836 states/eV per atom.